MgMnCo: relaxed, PBE.

```
MgMnCo
1.0
-0.498 3.799 0.460
-4.396 -2.589 0.448
0.593 1.484 4.561
Mg Mn Co
2 2 2
Direct
0.476 0.764 0.169
0.622 0.427 0.541
0.199 0.164 0.123
0.899 0.027 0.588
0.884 0.362 0.952
0.214 0.829 0.759
```

## Properties
ΔE_f ... 0.195 eV/atom
Energy relative to the lowest polymorph listed for this composition ... 128 meV per atom
Space group ... C2/m

***

HoTlFe: relaxed, PBE.

```
HoTlFe
1.0
-0.718 -0.623 3.603
-4.904 -1.691 -1.269
3.891 -5.380 -2.081
Tl Ho Fe
2 2 2
Direct
0.573 0.792 0.146
0.427 0.208 0.854
0.139 0.326 0.277
0.861 0.674 0.723
0.231 0.879 0.461
0.769 0.121 0.539
```

## Properties
ΔE_f ... -0.042 eV/atom
Space group ... C2/m

***

Tm12Fe2Pb3: relaxed, PBE.

```
Tm12Fe2Pb3
1.0
-5.616 -2.558 5.690
-3.053 6.967 -3.549
1.265 -5.950 -5.783
Tm Fe Pb
12 2 3
Direct
0.785 0.540 0.755
0.785 0.030 0.245
0.970 0.215 0.755
0.540 0.785 0.755
0.030 0.785 0.245
0.215 0.970 0.755
0.305 0.695 0.000
0.460 0.215 0.245
0.215 0.460 0.245
0.695 0.305 0.000
0.695 0.695 0.389
0.305 0.305 0.611
0.612 0.612 0.000
0.388 0.388 0.000
0.500 0.000 0.500
0.000 0.000 0.000
0.000 0.500 0.500
```

## Properties
ΔE_f ... -0.233 eV/atom
Space group ... I4/mmm

***

TaReRh2: relaxed, PBE.

```
TaReRh2
1.0
6.997 0.000 0.000
0.000 6.997 0.000
3.499 3.499 2.715
Rh Re Ta
4 2 2
Direct
0.118 0.625 0.250
0.375 0.368 0.750
0.632 0.125 0.250
0.875 0.882 0.750
0.750 0.250 0.500
0.000 0.000 0.000
0.500 0.500 0.000
0.250 0.750 0.500
```

## Properties
ΔE_f ... 0.330 eV/atom
Energy relative to the lowest polymorph listed for this composition ... 700 meV per atom
Space group ... I-42d

***

MnTcIr: relaxed, PBE.

```
MnTcIr
1.0
-5.143 0.518 -3.111
-4.405 -3.170 -2.634
3.793 1.340 4.495
Tc Mn Ir
1 1 1
Direct
0.668 0.668 0.000
0.334 0.334 0.000
0.998 0.998 0.000
```

## Properties
ΔE_f ... -0.050 eV/atom
Energy relative to the lowest polymorph listed for this composition ... 25 meV per atom
Space group ... I4mm

***

Sm2PdI2: relaxed, PBE.

```
Sm2PdI2
1.0
4.118 0.000 0.762
1.988 3.606 0.762
-0.091 -0.054 12.003
Pd Sm I
1 2 2
Direct
0.000 0.000 0.000
0.380 0.380 0.861
0.620 0.620 0.139
0.225 0.225 0.324
0.775 0.775 0.676
```

## Properties
ΔE_f (raw) ... -523 kJ/mol of formula units
Space group ... R-3m

***

Tb6YZn: relaxed, PBE.

```
Tb6YZn
1.0
9.293 0.007 0.103
4.644 7.047 -0.264
4.606 2.162 3.679
Zn Tb Y
1 6 1
Direct
0.000 0.000 0.000
0.424 0.764 0.856
0.764 0.956 0.704
0.236 0.044 0.296
0.576 0.236 0.144
0.044 0.425 0.767
0.956 0.575 0.233
0.500 0.500 0.500
```

## Properties
ΔE_f ... 0.043 eV/atom
Space group ... R-3

***

CaRe2Ir: relaxed, PBE.

```
CaRe2Ir
1.0
4.669 0.000 0.000
0.000 3.806 0.000
0.000 0.000 3.806
Ca Ir Re
1 1 2
Direct
0.500 0.500 0.000
0.500 0.000 0.500
0.000 0.000 0.000
0.000 0.500 0.500
```

## Properties
ΔE_f ... 0.609 eV/atom
Energy relative to the lowest polymorph listed for this composition ... 371 meV per atom
Space group ... P4/mmm

***

KOs2Br: relaxed, PBE.

```
KOs2Br
1.0
-0.292 6.727 -3.404
-1.194 2.823 -6.894
-1.860 -4.630 5.659
Os Br K
2 1 1
Direct
0.500 0.500 0.000
0.000 0.000 0.000
0.250 0.750 0.500
0.750 0.250 0.500
```

## Properties
ΔE_f (raw) ... 498 kJ/mol of formula units
Energy relative to the lowest polymorph listed for this composition ... 844 meV per atom
Space group ... I4/mmm

***

AlTlIn2: relaxed, PBE.

```
AlTlIn2
1.0
-0.187 10.595 -2.959
-1.582 10.887 0.024
1.711 10.864 -0.266
In Al Tl
2 1 1
Direct
0.492 0.492 0.492
0.008 0.008 0.008
0.750 0.750 0.750
0.250 0.250 0.250
```

## Properties
ΔE_f ... 0.097 eV/atom
Energy relative to the lowest polymorph listed for this composition ... 4 meV per atom
Space group ... R-3m

***

no.,total magnetic moment (μB per cell),final energy (eV/cell)
1,0.00,-34.6
2,2.71,-31.1
3,1.89,-85.7
4,0.00,-75.4
5,1.91,-28.5
6,0.00,-23.1
7,0.00,-35.2
8,0.00,-33.3
9,1.66,-20.1
10,0.00,-11.2